LiTl12Pb7 | PBE | optimized geometry

Cell: 8.5564 8.5564 8.5564 Å, 89.41 89.41 89.41°
Closest atoms and distances in Å follow each position.
Fractional positions:
Li 0.0000 0.0000 0.0000  6 Pb 2.99
Tl 0.7607 0.2268 0.6223  5 Pb 3.27-3.57, 4 Tl 3.49-3.58
Tl 0.7732 0.3777 0.2393  5 Pb 3.27-3.57, 4 Tl 3.49-3.58
Tl 0.4474 0.1217 0.3476  8 Tl 3.44-3.83, 3 Pb 3.53-3.69
Tl 0.8783 0.6524 0.5526  8 Tl 3.44-3.83, 3 Pb 3.53-3.69
Tl 0.3777 0.2393 0.7732  5 Pb 3.27-3.57, 4 Tl 3.49-3.58
Tl 0.6524 0.5526 0.8783  8 Tl 3.44-3.83, 3 Pb 3.53-3.69
Tl 0.3476 0.4474 0.1217  8 Tl 3.44-3.83, 3 Pb 3.53-3.69
Tl 0.6223 0.7607 0.2268  5 Pb 3.27-3.57, 4 Tl 3.49-3.58
Tl 0.1217 0.3476 0.4474  8 Tl 3.44-3.83, 3 Pb 3.53-3.69
Tl 0.5526 0.8783 0.6524  8 Tl 3.44-3.83, 3 Pb 3.53-3.69
Tl 0.2268 0.6223 0.7607  5 Pb 3.27-3.57, 4 Tl 3.49-3.58
Tl 0.2393 0.7732 0.3777  5 Pb 3.27-3.57, 4 Tl 3.49-3.58
Pb 0.9960 0.6660 0.1071  1 Li 2.99, 2 Tl 3.27-3.32
Pb 0.3340 0.8929 0.0040  1 Li 2.99, 2 Tl 3.27-3.32
Pb 0.8929 0.0040 0.3340  1 Li 2.99, 2 Tl 3.27-3.32
Pb 0.5000 0.5000 0.5000  12 Tl 3.38-3.54
Pb 0.1071 0.9960 0.6660  1 Li 2.99, 2 Tl 3.27-3.32
Pb 0.6660 0.1071 0.9960  1 Li 2.99, 2 Tl 3.27-3.32
Pb 0.0040 0.3340 0.8929  1 Li 2.99, 2 Tl 3.27-3.32

Calculated values
E above lowest polymorph: 24.5 meV/atom
Formation energy from the elements: 0.49 eV/f.u.